No. 1
This record from Alexandria describes a relaxed structure of AgHPb. The functional is GGA-PBE.

Cell lengths 4.1685, 4.1685, 6.8219 Å; angles 90.00, 90.00, 90.00 degrees
Closest atoms and distances in Å follow each position.
Space group I4mm (No. 107)
One atom of each set of equivalent atoms:
Ag: 0.0000 0.0000 0.0000 (multiplicity 2)  1 H 1.79
H: 0.0000 0.0000 0.2617 (multiplicity 2)  1 Ag 1.79
Pb: 0.0000 0.0000 0.5650 (multiplicity 2)  1 H 2.07

Results
Spin magnetization in μB per formula unit: 0.0
Energy above the most stable polymorph in this dataset in meV per atom: 305
Calculated volume in Å³/atom: 19.757
VASP energy in eV/cell: -17.5



No. 2
This record from Alexandria describes a relaxed structure of TlHg3Cl. The functional is GGA-PBE.

Cell lengths 6.0710, 6.0710, 6.0710 Å; angles 90.00, 90.00, 90.00 degrees
Closest atoms and distances in Å follow each position.
Space group Pm-3m (No. 221)
One atom of each set of equivalent atoms:
Tl: 0.0000 0.0000 0.0000 (multiplicity 1)  12 Hg 4.29
Hg: 0.0000 0.5000 0.5000 (multiplicity 3)  2 Cl 3.04
Cl: 0.5000 0.5000 0.5000 (multiplicity 1)  6 Hg 3.04

Results
Spin magnetization in μB per formula unit: 0.0
Energy above the most stable polymorph in this dataset in meV per atom: 130
Calculated volume in Å³/atom: 44.753
Formation energy from raw total energies in eV/f.u.: 0.47
VASP energy in eV/cell: -4.6



No. 3
This record from Alexandria describes a relaxed structure of SrBe2Os. The functional is GGA-PBE.

Cell lengths 6.4142, 6.4142, 6.4142 Å; angles 90.00, 90.00, 90.00 degrees
Closest atoms and distances in Å follow each position.
Space group F-43m (No. 216)
One atom of each set of equivalent atoms:
Sr: 0.0000 0.0000 0.0000 (multiplicity 4)  4 Be 2.78, 4 Os 2.78
Be: 0.0000 0.0000 0.5000 (multiplicity 4)  4 Os 2.78, 4 Be 2.78
Be: 0.2500 0.2500 0.7500 (multiplicity 4)  4 Be 2.78, 4 Sr 2.78
Os: 0.2500 0.2500 0.2500 (multiplicity 4)  4 Sr 2.78, 4 Be 2.78

Results
Spin magnetization in μB per formula unit: 0.0
Energy above the most stable polymorph in this dataset in meV per atom: 1019
E_form in eV/atom: 1.06
Calculated volume in Å³/atom: 16.494
VASP energy in eV/cell: -64.5



No. 4
This record from Alexandria describes a relaxed structure of TlO2F. The functional is GGA-PBE.

Cell lengths 3.6786, 3.6786, 15.9351 Å; angles 90.00, 90.00, 90.00 degrees
Closest atoms and distances in Å follow each position.
Space group I-42d (No. 122)
One atom of each set of equivalent atoms:
Tl: 0.0000 0.0000 0.0000 (multiplicity 4)  4 O 2.28
O: 0.1696 0.2500 0.1250 (multiplicity 8)  2 O 2.22, 2 Tl 2.28
F: 0.0000 0.0000 0.5000 (multiplicity 4)  4 O 2.51, 4 Tl 2.60

Results
Spin magnetization in μB per formula unit: 1.9
Energy above the most stable polymorph in this dataset in meV per atom: 229
Calculated volume in Å³/atom: 13.477
Formation energy from raw total energies in eV/f.u.: -0.09
VASP energy in eV/cell: -57.0



No. 5
This record from Alexandria describes a relaxed structure of ScGa3S. The functional is GGA-PBE.

Cell lengths 4.8256, 4.8256, 4.8256 Å; angles 90.00, 90.00, 90.00 degrees
Closest atoms and distances in Å follow each position.
Space group Pm-3m (No. 221)
One atom of each set of equivalent atoms:
Sc: 0.0000 0.0000 0.0000 (multiplicity 1)  12 Ga 3.41
Ga: 0.0000 0.5000 0.5000 (multiplicity 3)  2 S 2.41
S: 0.5000 0.5000 0.5000 (multiplicity 1)  6 Ga 2.41

Results
Spin magnetization in μB per formula unit: 0.0
Energy above the most stable polymorph in this dataset in meV per atom: 0
Calculated volume in Å³/atom: 22.474
Formation energy from raw total energies in eV/f.u.: 1.27
VASP energy in eV/cell: -18.3



No. 6
This record from Alexandria describes a relaxed structure of Tb2Be12Co5. The functional is GGA-PBE.

Cell lengths 7.9352, 7.9352, 11.4626 Å; angles 90.00, 90.00, 120.00 degrees
Closest atoms and distances in Å follow each position.
Space group R-3m (No. 166, hexagonal axes)
One atom of each set of equivalent atoms:
Tb: 0.0000 0.0000 0.1600 (multiplicity 6)  4 Co 2.78-3.03, 15 Be 2.90-3.05
Be: 0.0000 0.2754 0.5000 (multiplicity 18)  4 Be 2.19-2.29, 2 Co 2.24
Be: 0.0128 0.5064 0.3401 (multiplicity 18)  3 Co 2.25-2.37, 4 Be 2.29-2.38
Co: 0.0000 0.0000 0.4024 (multiplicity 6)  4 Co 2.24-2.42, 9 Be 2.37-2.46
Co: 0.0000 0.5000 0.0000 (multiplicity 9)  8 Be 2.24-2.25, 2 Co 2.42

Results
Spin magnetization in μB per formula unit: 3.2
E_form in eV/atom: -0.21
Calculated volume in Å³/atom: 10.966
VASP energy in eV/cell: -280.3